{
  "formula": "AgMoBr4",
  "functional": "PBE-GGA",
  "state": "optimized geometry",
  "e_form_raw_mev_per_atom": 1105.2,
  "lattice": [[0.000, 4.436, 4.436], [4.436, 0.000, 4.436], [4.436, 4.436, 0.000]],
  "species": ["Br", "Br", "Br", "Br", "Ag", "Mo"],
  "fractional_positions": [[0.375, 0.876, 0.375], [0.375, 0.375, 0.876], [0.876, 0.375, 0.375], [0.375, 0.375, 0.375], [0.000, 0.000, 0.000], [0.750, 0.750, 0.750]]
}

{
  "formula": "Pm4Nd3HoSe8",
  "functional": "PBE-GGA",
  "state": "optimized geometry",
  "e_form_raw_mev_per_atom": -1814.1,
  "lattice": [[8.396, 0.000, 0.000], [0.000, 8.382, -0.013], [-4.198, -4.192, 5.939]],
  "species": ["Pm", "Pm", "Pm", "Pm", "Se", "Se", "Se", "Se", "Se", "Se", "Se", "Se", "Nd", "Nd", "Nd", "Ho"],
  "fractional_positions": [[0.000, 0.000, 0.000], [0.500, 0.000, 0.000], [0.000, 0.000, 0.500], [0.500, 0.000, 0.500], [0.751, 0.753, 0.502], [0.243, 0.253, 0.998], [0.249, 0.247, 0.498], [0.245, 0.747, 0.002], [0.245, 0.747, 0.490], [0.757, 0.747, 0.002], [0.755, 0.253, 0.998], [0.755, 0.253, 0.510], [0.500, 0.500, 0.500], [0.000, 0.500, 0.500], [0.500, 0.500, 0.000], [0.000, 0.500, 0.000]]
}

{
  "formula": "TeSe2F",
  "functional": "PBE-GGA",
  "state": "optimized geometry",
  "e_form_raw_mev_per_atom": -278.1,
  "lattice": [[-2.709, 7.173, 3.206], [0.610, 6.550, 5.079], [0.648, 8.137, 1.559]],
  "species": ["Te", "Se", "Se", "F"],
  "fractional_positions": [[0.500, 0.500, 0.500], [0.091, 0.091, 0.091], [0.909, 0.909, 0.909], [0.000, 0.000, 0.000]]
}

{
  "formula": "SmPuCo",
  "functional": "PBE-GGA",
  "state": "optimized geometry",
  "formation_energy_ev_per_fu": -0.1,
  "lattice": [[-0.725, -0.617, -5.816], [6.722, -1.443, -0.686], [-3.376, -6.133, 1.071]],
  "species": ["Pu", "Pu", "Pu", "Pu", "Co", "Co", "Co", "Co", "Sm", "Sm", "Sm", "Sm"],
  "fractional_positions": [[0.833, 0.912, 0.307], [0.667, 0.912, 0.807], [0.167, 0.088, 0.693], [0.333, 0.088, 0.193], [0.378, 0.334, 0.989], [0.122, 0.334, 0.489], [0.622, 0.666, 0.011], [0.878, 0.666, 0.511], [0.860, 0.358, 0.140], [0.640, 0.358, 0.640], [0.360, 0.642, 0.360], [0.140, 0.642, 0.860]]
}

{
  "formula": "VCo2Re",
  "functional": "PBE-GGA",
  "state": "optimized geometry",
  "formation_energy_ev_per_fu": -0.5,
  "lattice": [[-2.521, -1.936, 1.792], [2.564, -1.226, 2.283], [-0.609, 2.837, 2.207]],
  "species": ["V", "Co", "Co", "Re"],
  "fractional_positions": [[0.500, 0.000, 0.000], [0.000, 0.000, 0.500], [0.000, 0.500, 0.000], [0.500, 0.500, 0.500]]
}

{
  "formula": "LaThMnN4",
  "functional": "PBE-GGA",
  "state": "optimized geometry",
  "e_form_raw_mev_per_atom": -1012.0,
  "lattice": [[-1.439, -2.008, 2.811], [2.953, -2.295, -0.128], [2.332, 5.890, 2.910]],
  "species": ["N", "N", "N", "N", "Mn", "Th", "La"],
  "fractional_positions": [[0.834, 0.834, 0.668], [0.176, 0.176, 0.353], [0.996, 0.496, 0.991], [0.496, 0.996, 0.991], [0.997, 0.997, 0.994], [0.357, 0.357, 0.713], [0.645, 0.645, 0.289]]
}

{
  "formula": "Cu2ICl3",
  "functional": "PBE-GGA",
  "state": "optimized geometry",
  "e_form_raw_mev_per_atom": -305.9,
  "lattice": [[4.026, 0.000, 0.000], [0.000, 11.113, 0.851], [-2.013, -0.394, 7.649]],
  "species": ["Cu", "Cu", "Cu", "Cu", "Cl", "Cl", "Cl", "Cl", "Cl", "Cl", "I", "I"],
  "fractional_positions": [[0.307, 0.601, 0.614], [0.693, 0.399, 0.386], [0.070, 0.087, 0.140], [0.930, 0.913, 0.860], [0.078, 0.883, 0.155], [0.722, 0.614, 0.444], [0.454, 0.588, 0.907], [0.278, 0.386, 0.556], [0.546, 0.412, 0.093], [0.922, 0.117, 0.845], [0.344, 0.832, 0.687], [0.656, 0.168, 0.313]]
}

{
  "formula": "KCa2La",
  "functional": "PBE-GGA",
  "state": "optimized geometry",
  "formation_energy_ev_per_fu": 1.4,
  "lattice": [[-5.068, 3.525, 1.317], [-3.666, -1.460, 4.927], [-0.030, 3.697, 5.116]],
  "species": ["Ca", "Ca", "La", "K"],
  "fractional_positions": [[0.250, 0.250, 0.250], [0.000, 0.000, 0.000], [0.750, 0.750, 0.750], [0.500, 0.500, 0.500]]
}

{
  "formula": "KBI3",
  "functional": "PBE-GGA",
  "state": "optimized geometry",
  "e_form_raw_mev_per_atom": -607.7,
  "lattice": [[7.879, 0.000, -0.166], [0.000, 8.588, 0.000], [0.029, 0.000, 11.295]],
  "species": ["B", "B", "B", "B", "K", "K", "K", "K", "I", "I", "I", "I", "I", "I", "I", "I", "I", "I", "I", "I"],
  "fractional_positions": [[0.032, 0.077, 0.458], [0.468, 0.577, 0.042], [0.532, 0.423, 0.958], [0.968, 0.923, 0.542], [0.967, 0.587, 0.251], [0.533, 0.087, 0.249], [0.033, 0.413, 0.749], [0.467, 0.913, 0.751], [0.072, 0.008, 0.264], [0.835, 0.275, 0.456], [0.428, 0.508, 0.236], [0.218, 0.685, 0.974], [0.782, 0.315, 0.026], [0.335, 0.225, 0.956], [0.928, 0.992, 0.736], [0.665, 0.775, 0.044], [0.165, 0.725, 0.544], [0.718, 0.815, 0.474], [0.282, 0.185, 0.526], [0.572, 0.492, 0.764]]
}

{
  "formula": "TcRu2Se",
  "functional": "PBE-GGA",
  "state": "optimized geometry",
  "e_form_raw_mev_per_atom": 391.9,
  "lattice": [[-0.632, 1.055, 2.648], [-3.179, -3.188, 0.511], [3.017, -2.719, 1.803]],
  "species": ["Se", "Tc", "Ru", "Ru"],
  "fractional_positions": [[0.500, 0.000, 0.500], [0.000, 0.500, 0.500], [0.000, 0.000, 0.000], [0.500, 0.500, 0.000]]
}

{
  "formula": "TeIrRh4",
  "functional": "PBE-GGA",
  "state": "optimized geometry",
  "e_form_raw_mev_per_atom": 520.5,
  "lattice": [[3.460, -1.755, 3.422], [-1.561, -2.840, 4.032], [1.115, -5.048, 0.195]],
  "species": ["Rh", "Rh", "Rh", "Rh", "Ir", "Te"],
  "fractional_positions": [[0.374, 0.374, 0.374], [0.374, 0.878, 0.374], [0.878, 0.374, 0.374], [0.374, 0.374, 0.878], [0.000, 0.000, 0.000], [0.750, 0.750, 0.750]]
}

{
  "formula": "MgSiW",
  "functional": "PBE-GGA",
  "state": "optimized geometry",
  "e_form_raw_mev_per_atom": 300.0,
  "lattice": [[2.910, 0.000, 0.000], [-1.455, 2.520, 0.000], [0.000, 0.000, 6.730]],
  "species": ["Si", "Mg", "W"],
  "fractional_positions": [[0.667, 0.333, 0.347], [0.000, 0.000, 0.003], [0.333, 0.667, 0.651]]
}

{
  "formula": "CeHfFeN3",
  "functional": "PBE-GGA",
  "state": "optimized geometry",
  "e_form_raw_mev_per_atom": -1171.1,
  "lattice": [[3.223, 0.000, 0.000], [0.000, 6.943, 0.542], [0.000, -2.117, 6.833]],
  "species": ["Hf", "Hf", "N", "N", "N", "N", "N", "N", "Fe", "Fe", "Ce", "Ce"],
  "fractional_positions": [[0.750, 0.343, 0.841], [0.250, 0.657, 0.159], [0.250, 0.125, 0.865], [0.750, 0.875, 0.135], [0.750, 0.185, 0.494], [0.250, 0.569, 0.849], [0.250, 0.815, 0.506], [0.750, 0.431, 0.151], [0.750, 0.903, 0.410], [0.250, 0.097, 0.590], [0.250, 0.181, 0.206], [0.750, 0.819, 0.794]]
}

{
  "formula": "AlH7Pd12",
  "functional": "PBE-GGA",
  "state": "optimized geometry",
  "e_tot_ev_per_cell": -92.1,
  "lattice": [[6.427, -0.074, -0.111], [-1.858, 6.153, -0.111], [-1.858, -2.473, 5.635]],
  "species": ["H", "H", "H", "H", "H", "H", "H", "Pd", "Pd", "Pd", "Pd", "Pd", "Pd", "Pd", "Pd", "Pd", "Pd", "Pd", "Pd", "Al"],
  "fractional_positions": [[0.407, 0.179, 0.046], [0.179, 0.046, 0.407], [0.046, 0.407, 0.179], [0.954, 0.593, 0.821], [0.593, 0.821, 0.954], [0.821, 0.954, 0.593], [0.500, 0.500, 0.500], [0.921, 0.291, 0.765], [0.461, 0.154, 0.378], [0.291, 0.765, 0.921], [0.235, 0.079, 0.709], [0.709, 0.235, 0.079], [0.846, 0.622, 0.539], [0.079, 0.709, 0.235], [0.765, 0.921, 0.291], [0.378, 0.461, 0.154], [0.622, 0.539, 0.846], [0.154, 0.378, 0.461], [0.539, 0.846, 0.622], [0.000, 0.000, 0.000]]
}

{
  "formula": "Ba6Pt2SeCl3",
  "functional": "PBE-GGA",
  "state": "optimized geometry",
  "e_form_raw_mev_per_atom": -1569.1,
  "lattice": [[4.577, 0.000, 0.000], [0.000, 9.634, 0.198], [-2.288, -2.926, 9.829]],
  "species": ["Ba", "Ba", "Ba", "Ba", "Ba", "Ba", "Pt", "Pt", "Se", "Cl", "Cl", "Cl"],
  "fractional_positions": [[0.325, 0.431, 0.651], [0.675, 0.569, 0.349], [0.989, 0.751, 0.977], [0.669, 0.108, 0.337], [0.331, 0.892, 0.663], [0.011, 0.249, 0.023], [0.833, 0.667, 0.666], [0.167, 0.333, 0.334], [0.500, 0.000, 0.000], [0.842, 0.161, 0.684], [0.158, 0.839, 0.316], [0.500, 0.500, 0.000]]
}

{
  "formula": "Dy5FeBi2",
  "functional": "PBE-GGA",
  "state": "optimized geometry",
  "formation_energy_ev_per_fu": -0.6,
  "lattice": [[-3.747, -3.961, -0.200], [5.334, -1.615, 6.497], [-8.046, 7.187, 8.392]],
  "species": ["Bi", "Bi", "Bi", "Bi", "Dy", "Dy", "Dy", "Dy", "Dy", "Dy", "Dy", "Dy", "Dy", "Dy", "Fe", "Fe"],
  "fractional_positions": [[0.856, 0.712, 0.088], [0.144, 0.288, 0.588], [0.144, 0.288, 0.912], [0.856, 0.712, 0.412], [0.687, 0.375, 0.250], [0.732, 0.465, 0.607], [0.268, 0.535, 0.107], [0.053, 0.106, 0.118], [0.947, 0.894, 0.882], [0.053, 0.106, 0.382], [0.268, 0.535, 0.393], [0.732, 0.465, 0.893], [0.313, 0.625, 0.750], [0.947, 0.894, 0.618], [0.160, 0.320, 0.250], [0.840, 0.680, 0.750]]
}

{
  "formula": "BeFe",
  "functional": "PBE-GGA",
  "state": "optimized geometry",
  "formation_energy_ev_per_fu": -0.3,
  "lattice": [[4.473, 0.011, 0.000], [-3.792, 2.372, 0.000], [0.000, 0.000, 3.538]],
  "species": ["Be", "Be", "Fe", "Fe"],
  "fractional_positions": [[0.068, 0.932, 0.250], [0.932, 0.068, 0.750], [0.333, 0.667, 0.250], [0.667, 0.333, 0.750]]
}